First-principles (GGA-PBE) data for a relaxed structure of ThB4W, as listed in Alexandria.

Computed properties:
Fermi-level density of states	0.3113	states/eV/atom
total moment	0.00	μB/f.u.
formation energy	-0.54	eV/atom
DFT total energy	-8.39	eV/atom

Cell and atoms, written as POSCAR:
```
ThB4W
1.0
-3.7453 4.3689 -2.1017
-2.6944 -1.9399 5.1487
1.9047 2.5800 1.9689
Th B W
2 8 2
Cartesian
-3.0123 -0.0315 2.9554
-3.4274 2.4605 0.0915
-0.6341 2.8137 0.5226
-3.9009 2.1954 4.4932
-0.3052 0.8391 2.7919
-4.2298 4.1700 2.2239
-1.4411 2.1928 2.1169
-3.0940 2.8163 2.8989
-1.8367 -0.0816 5.4800
-2.6983 5.0906 -0.4642
-1.1060 0.4172 0.5233
-5.3337 2.0119 2.5236
```